Record 1
Density functional theory data (PBE) for a relaxed LiSnMoIr crystal.

Cell: 4.462 4.462 4.462 Å, 60.00 60.00 60.00°
Sites, in units of the cell vectors:
Li1 0.000 0.000 0.000
Sn1 0.750 0.750 0.750
Mo1 0.250 0.250 0.250
Ir1 0.500 0.500 0.500

Summary:
The calculation puts the volume at 63 Å³/cell. For the density of states at the Fermi level, the calculation gives 0.989 states/eV per atom. The calculation puts the formation enthalpy at 0 K at -14.7 kJ/mol of formula units. Its crystal system is cubic. As for the space group: F-43m (216). The value obtained for the uncorrected energy is -6.440 eV/atom.

---

Record 2
Density functional theory data (PBE) for a relaxed IrSe2F crystal.

Cell: 6.071 4.982 6.432 Å, 90.00 117.39 90.00°
Sites, in units of the cell vectors:
Ir1 0.000 0.000 0.000
Ir2 0.000 0.000 0.500
Se1 0.255 0.220 0.361
Se2 0.255 0.780 0.861
Se3 0.944 0.371 0.726
Se4 0.944 0.629 0.226
F1 0.718 0.126 0.127
F2 0.718 0.874 0.627

Summary:
The calculation puts the volume at 173 Å³/cell. The raw formation energy comes out at -0.53 eV per atom. Its crystal system is monoclinic. As for the space group: Pc (7). The value obtained for the uncorrected energy is -4.951 eV/atom.

---

Record 3
Density functional theory data (PBE) for a relaxed InReHg2 crystal.

Cell: 5.976 5.976 3.014 Å, 103.19 103.19 121.73°
Sites, in units of the cell vectors:
In1 0.000 0.000 0.000
Re1 0.500 0.500 0.000
Hg1 0.000 0.500 0.000
Hg2 0.500 0.000 0.000

Summary:
The calculation puts the volume at 81 Å³/cell. For the density of states at the Fermi level, the calculation gives 0.612 states/eV per atom. The calculation puts the formation enthalpy at 0 K at 265.2 kJ/mol of formula units. Its crystal system is monoclinic. As for the space group: C2/m (12). The value obtained for the uncorrected energy is -3.261 eV/atom.